Entry 1:
La3Hg after structural relaxation. Source: the Alexandria database, functional PBE-GGA.

Output
Symmetry: No. 225
DFT total energy in eV per atom: -3.880
Excess energy over the best structure of this formula in the dataset in kJ/mol of atoms: 13.62
Formation energy from the elements in eV/f.u.: -0.438

abc: 5.6011 5.6011 5.6011
angles: 60.00 60.00 60.00
Site moments in Bohr magnetons follow the coordinates.
Fractional positions:
Hg1 0.0000 0.0000 0.0000  -0.02
La1 0.7500 0.7500 0.7500  0.23
La2 0.5000 0.5000 0.5000  0.44
La3 0.2500 0.2500 0.2500  0.23

***

Entry 2:
LaHg after structural relaxation. Source: the Alexandria database, functional PBE-GGA.

Output
Symmetry: No. 129
DFT total energy in eV per atom: -2.953
Formation energy from the elements in eV/f.u.: -0.676

abc: 4.1663 4.1663 7.1512
angles: 90.00 90.00 90.00
Site moments in Bohr magnetons follow the coordinates.
Fractional positions:
Hg1 0.2500 0.2500 0.1286  0.01
Hg2 0.7500 0.7500 0.8714  0.01
La1 0.2500 0.2500 0.6666  0.15
La2 0.7500 0.7500 0.3334  0.15

***

Entry 3:
La6Hg5 after structural relaxation. Source: the Alexandria database, functional PBE-GGA.

Output
Symmetry: No. 71
DFT total energy in eV per atom: -3.231
Formation energy from the elements in eV/f.u.: -4.472

abc: 5.4600 7.8242 9.4367
angles: 114.49 106.81 90.00
Site moments in Bohr magnetons follow the coordinates.
Fractional positions:
La1 0.5000 0.7546 0.0000  0.19
La2 0.5000 0.2454 0.0000  0.19
La3 0.8374 0.0834 0.6748  0.16
La4 0.8374 0.5914 0.6748  0.16
La5 0.1626 0.9166 0.3252  0.16
La6 0.1626 0.4086 0.3252  0.16
Hg1 0.0000 0.5000 0.0000  0.02
Hg2 0.6680 0.6680 0.3360  0.01
Hg3 0.3320 0.3320 0.6640  0.01
Hg4 0.3306 0.8306 0.6611  0.02
Hg5 0.6694 0.1694 0.3389  0.02

***

Entry 4:
LaHg after structural relaxation. Source: the Alexandria database, functional PBE-GGA.

Output
Symmetry: No. 176
DFT total energy in eV per atom: -2.916
Formation energy from the elements in eV/f.u.: -0.602

abc: 8.9077 8.9077 5.6894
angles: 90.00 90.00 120.00
Fractional positions:
La1 0.7895 0.1171 0.2500
La2 0.6723 0.7895 0.7500
La3 0.8829 0.6723 0.2500
La4 0.2105 0.8829 0.7500
La5 0.3277 0.2105 0.2500
La6 0.1171 0.3277 0.7500
Hg1 0.1205 0.4943 0.2500
Hg2 0.6262 0.1205 0.7500
Hg3 0.5057 0.6262 0.2500
Hg4 0.8795 0.5057 0.7500
Hg5 0.3738 0.8795 0.2500
Hg6 0.4943 0.3738 0.7500

***

Entry 5:
LaHg after structural relaxation. Source: the Alexandria database, functional PBE-GGA.

Output
Symmetry: No. 63
DFT total energy in eV per atom: -3.074
Formation energy from the elements in eV/f.u.: -0.919

abc: 3.9036 6.4940 5.0556
angles: 90.00 90.00 107.49
Fractional positions:
Hg1 0.4208 0.8415 0.2500
Hg2 0.5792 0.1585 0.7500
La1 0.1472 0.2944 0.2500
La2 0.8528 0.7056 0.7500

***

Entry 6:
LaHg after structural relaxation. Source: the Alexandria database, functional PBE-GGA.

Output
Symmetry: No. 198
DFT total energy in eV per atom: -3.011
Formation energy from the elements in eV/f.u.: -0.793

abc: 6.2843 6.2843 6.2843
angles: 90.00 90.00 90.00
Fractional positions:
La1 0.0694 0.0694 0.0694
La2 0.4306 0.9306 0.5694
La3 0.9306 0.5694 0.4306
La4 0.5694 0.4306 0.9306
Hg1 0.4180 0.4180 0.4180
Hg2 0.0820 0.5820 0.9180
Hg3 0.5820 0.9180 0.0820
Hg4 0.9180 0.0820 0.5820

***

Entry 7:
LaHg after structural relaxation. Source: the Alexandria database, functional PBE-GGA.

Output
Symmetry: No. 166
DFT total energy in eV per atom: -2.945
Formation energy from the elements in eV/f.u.: -0.661

abc: 5.3142 5.3142 5.3142
angles: 43.71 43.71 43.71
Fractional positions:
Hg1 0.0000 0.0000 0.0000
La1 0.5000 0.5000 0.5000

***

Entry 8:
La6Hg7 after structural relaxation. Source: the Alexandria database, functional PBE-GGA.

Output
Symmetry: No. 166
DFT total energy in eV per atom: -2.769
Formation energy from the elements in eV/f.u.: -4.321

abc: 11.5923 11.5923 11.5923
angles: 31.26 31.26 31.26
Fractional positions:
Hg1 0.0918 0.5899 0.5899
Hg2 0.5899 0.0918 0.5899
Hg3 0.5899 0.5899 0.0918
Hg4 0.9082 0.4101 0.4101
Hg5 0.4101 0.4101 0.9082
Hg6 0.4101 0.9082 0.4101
Hg7 0.5000 0.5000 0.5000
La1 0.0532 0.0532 0.0532
La2 0.9468 0.9468 0.9468
La3 0.1571 0.1571 0.1571
La4 0.8429 0.8429 0.8429
La5 0.3301 0.3301 0.3301
La6 0.6699 0.6699 0.6699

***

Entry 9:
LaHg3 after structural relaxation. Source: the Alexandria database, functional PBE-GGA.

Output
Symmetry: No. 187
DFT total energy in eV per atom: -1.654
Formation energy from the elements in eV/f.u.: -0.783

abc: 4.2750 4.2750 7.7111
angles: 90.00 90.00 120.00
Fractional positions:
La1 0.0000 0.0000 0.5000
Hg1 0.0000 0.0000 0.0000
Hg2 0.3333 0.6667 0.7694
Hg3 0.3333 0.6667 0.2306

***

Entry 10:
La8Hg after structural relaxation. Source: the Alexandria database, functional PBE-GGA.

Output
Symmetry: No. 139
DFT total energy in eV per atom: -4.473
Formation energy from the elements in eV/f.u.: -0.532

abc: 5.1303 8.1816 8.1816
angles: 95.64 108.27 71.73
Fractional positions:
Hg1 0.0000 0.0000 0.0000
La1 0.6667 0.0000 0.3333
La2 0.3333 0.0000 0.6667
La3 0.0000 0.3202 0.3202
La4 0.3333 0.3333 0.0000
La5 0.6798 0.3202 0.6798
La6 0.6667 0.6667 0.0000
La7 0.0000 0.6798 0.6798
La8 0.3202 0.6798 0.3202

***

Entry 11:
La3Hg after structural relaxation. Source: the Alexandria database, functional PBE-GGA.

Output
Symmetry: No. 223
DFT total energy in eV per atom: -3.921
Excess energy over the best structure of this formula in the dataset in kJ/mol of atoms: 9.72
Formation energy from the elements in eV/f.u.: -0.600

abc: 6.3954 6.3954 6.3954
angles: 90.00 90.00 90.00
Site moments in Bohr magnetons follow the coordinates.
Fractional positions:
La1 0.0000 0.2500 0.5000  0.21
La2 0.0000 0.7500 0.5000  0.21
La3 0.2500 0.5000 0.0000  0.21
La4 0.5000 0.0000 0.2500  0.21
La5 0.5000 0.0000 0.7500  0.21
La6 0.7500 0.5000 0.0000  0.21
Hg1 0.0000 0.0000 0.0000  0.01
Hg2 0.5000 0.5000 0.5000  0.01

***

Entry 12:
LaHg after structural relaxation. Source: the Alexandria database, functional PBE-GGA.

Output
Symmetry: No. 216
DFT total energy in eV per atom: -2.378
Formation energy from the elements in eV/f.u.: 0.474

abc: 5.0042 5.0042 5.0042
angles: 60.00 60.00 60.00
Site moments in Bohr magnetons follow the coordinates.
Fractional positions:
Hg1 0.0000 0.0000 0.0000  0.02
La1 0.7500 0.7500 0.7500  0.06

***

Entry 13:
LaHg after structural relaxation. Source: the Alexandria database, functional PBE-GGA.

Output
Symmetry: No. 194
DFT total energy in eV per atom: -2.584
Formation energy from the elements in eV/f.u.: 0.061

abc: 5.4624 5.4624 6.3168
angles: 90.00 90.00 120.00
Fractional positions:
La1 0.3333 0.6667 0.2500
La2 0.6667 0.3333 0.7500
Hg1 0.3333 0.6667 0.7500
Hg2 0.6667 0.3333 0.2500

***

Entry 14:
LaHg4 after structural relaxation. Source: the Alexandria database, functional PBE-GGA.

Output
Symmetry: No. 74
DFT total energy in eV per atom: -1.560
Excess energy over the best structure of this formula in the dataset in kJ/mol of atoms: 0.00
Formation energy from the elements in eV/f.u.: -1.666

abc: 4.9852 6.7583 8.9034
angles: 112.30 106.26 90.00
Fractional positions:
La1 0.8865 0.1365 0.7730
La2 0.1135 0.8635 0.2270
Hg1 0.0972 0.3472 0.1944
Hg2 0.9028 0.6528 0.8056
Hg3 0.5000 0.0000 0.0000
Hg4 0.5000 0.5000 0.0000
Hg5 0.6965 0.2077 0.3931
Hg6 0.3035 0.7923 0.6069
Hg7 0.3035 0.3146 0.6069
Hg8 0.6965 0.6854 0.3931

***

Entry 15:
La7Hg3 after structural relaxation. Source: the Alexandria database, functional PBE-GGA.

Output
Symmetry: No. 186
DFT total energy in eV per atom: -3.814
Formation energy from the elements in eV/f.u.: -2.741

abc: 6.8033 10.6854 10.6854
angles: 120.00 90.00 90.00
Fractional positions:
La1 0.0597 0.6667 0.3333
La2 0.5597 0.3333 0.6667
La3 0.9178 0.8741 0.7482
La4 0.9178 0.8741 0.1259
La5 0.9178 0.2518 0.1259
La6 0.4178 0.1259 0.2518
La7 0.4178 0.1259 0.8741
La8 0.4178 0.7482 0.8741
La9 0.1677 0.4666 0.9331
La10 0.1677 0.4666 0.5334
La11 0.1677 0.0669 0.5334
La12 0.6677 0.5334 0.0669
La13 0.6677 0.5334 0.4666
La14 0.6677 0.9331 0.4666
Hg1 0.8640 0.1980 0.3960
Hg2 0.8640 0.1980 0.8020
Hg3 0.8640 0.6040 0.8020
Hg4 0.3640 0.8020 0.6040
Hg5 0.3640 0.8020 0.1980
Hg6 0.3640 0.3960 0.1980

***

Entry 16:
La7Hg after structural relaxation. Source: the Alexandria database, functional PBE-GGA.

Output
Symmetry: No. 225
DFT total energy in eV per atom: -4.445
Formation energy from the elements in eV/f.u.: -0.765

abc: 7.2494 7.2494 7.2494
angles: 60.00 60.00 60.00
Fractional positions:
Hg1 0.0000 0.0000 0.0000
La1 0.0000 0.5000 0.0000
La2 0.0000 0.5000 0.5000
La3 0.5000 0.5000 0.0000
La4 0.5000 0.0000 0.5000
La5 0.5000 0.0000 0.0000
La6 0.0000 0.0000 0.5000
La7 0.5000 0.5000 0.5000

***

Entry 17:
LaHg3 after structural relaxation. Source: the Alexandria database, functional PBE-GGA.

Output
Symmetry: No. 221
DFT total energy in eV per atom: -1.092
Formation energy from the elements in eV/f.u.: 1.466

abc: 6.3040 6.3040 6.3040
angles: 90.00 90.00 90.00
Fractional positions:
Hg1 0.5000 0.0000 0.0000
Hg2 0.0000 0.5000 0.0000
Hg3 0.0000 0.0000 0.5000
La1 0.0000 0.0000 0.0000

***

Entry 18:
La4Hg after structural relaxation. Source: the Alexandria database, functional PBE-GGA.

Output
Symmetry: No. 221
DFT total energy in eV per atom: -3.818
Excess energy over the best structure of this formula in the dataset in kJ/mol of atoms: 36.69
Formation energy from the elements in eV/f.u.: 0.924

abc: 5.9852 5.9852 5.9852
angles: 90.00 90.00 90.00
Fractional positions:
Hg1 0.5000 0.5000 0.5000
La1 0.0000 0.0000 0.0000
La2 0.5000 0.0000 0.5000
La3 0.0000 0.5000 0.5000
La4 0.5000 0.5000 0.0000

***

Entry 19:
LaHg3 after structural relaxation. Source: the Alexandria database, functional PBE-GGA.

Output
Symmetry: No. 74
DFT total energy in eV per atom: -1.825
Formation energy from the elements in eV/f.u.: -1.468

abc: 6.7458 9.5546 6.7831
angles: 90.00 90.00 90.00
Fractional positions:
Hg1 0.0000 0.2500 0.9763
Hg2 0.5000 0.7500 0.4763
Hg3 0.5000 0.2500 0.5237
Hg4 0.0000 0.7500 0.0237
Hg5 0.2500 0.9895 0.2500
Hg6 0.2500 0.0105 0.7500
Hg7 0.7500 0.5105 0.2500
Hg8 0.7500 0.4895 0.7500
Hg9 0.7500 0.0105 0.7500
Hg10 0.7500 0.9895 0.2500
Hg11 0.2500 0.4895 0.7500
Hg12 0.2500 0.5105 0.2500
La1 0.0000 0.2500 0.4665
La2 0.5000 0.7500 0.9665
La3 0.5000 0.2500 0.0335
La4 0.0000 0.7500 0.5335

***

Entry 20:
La3Hg5 after structural relaxation. Source: the Alexandria database, functional PBE-GGA.

Output
Symmetry: No. 65
DFT total energy in eV per atom: -2.512
Excess energy over the best structure of this formula in the dataset in kJ/mol of atoms: 0.00
Formation energy from the elements in eV/f.u.: -3.804

abc: 6.6959 6.6959 5.3960
angles: 90.00 90.00 71.79
Fractional positions:
Hg1 0.0000 0.0000 0.0000
Hg2 0.0000 0.5000 0.0000
Hg3 0.5000 0.0000 0.0000
Hg4 0.7089 0.2911 0.5000
Hg5 0.2911 0.7089 0.5000
La1 0.5000 0.5000 0.0000
La2 0.2060 0.2060 0.5000
La3 0.7940 0.7940 0.5000

***

Entry 21:
LaHg3 after structural relaxation. Source: the Alexandria database, functional PBE-GGA.

Output
Symmetry: No. 194
DFT total energy in eV per atom: -1.892
Formation energy from the elements in eV/f.u.: -1.734

abc: 5.1040 6.9307 6.9303
angles: 120.03 90.00 90.00
Fractional positions:
Hg1 0.7500 0.9632 0.7869
Hg2 0.7500 0.4479 0.7867
Hg3 0.7500 0.9633 0.3016
Hg4 0.2500 0.2868 0.4631
Hg5 0.2500 0.8021 0.4633
Hg6 0.2500 0.2866 0.9484
La1 0.2500 0.7914 0.9581
La2 0.7500 0.4586 0.2919

***

Entry 22:
LaHg3 after structural relaxation. Source: the Alexandria database, functional PBE-GGA.

Output
Symmetry: No. 10
DFT total energy in eV per atom: -1.761
Formation energy from the elements in eV/f.u.: -1.211

abc: 3.4551 5.0303 6.2885
angles: 90.00 88.52 90.00
Site moments in Bohr magnetons follow the coordinates.
Fractional positions:
Hg1 0.2305 0.0000 0.9971  0.00
Hg2 0.2695 0.0000 0.5029  0.00
Hg3 0.2500 0.5000 0.2500  0.00
La1 0.7500 0.5000 0.7500  0.08

***

Entry 23:
LaHg after structural relaxation. Source: the Alexandria database, functional PBE-GGA.

Output
Symmetry: No. 194
DFT total energy in eV per atom: -2.881
Formation energy from the elements in eV/f.u.: -0.533

abc: 5.0796 5.0796 10.8422
angles: 90.00 90.00 120.00
Fractional positions:
La1 0.3333 0.6667 0.9009
La2 0.6667 0.3333 0.4009
La3 0.6667 0.3333 0.0991
La4 0.3333 0.6667 0.5991
Hg1 0.0000 0.0000 0.7500
Hg2 0.0000 0.0000 0.2500
Hg3 0.3333 0.6667 0.2500
Hg4 0.6667 0.3333 0.7500

***

Entry 24:
LaHg after structural relaxation. Source: the Alexandria database, functional PBE-GGA.

Output
Symmetry: No. 194
DFT total energy in eV per atom: -2.700
Formation energy from the elements in eV/f.u.: -0.170

abc: 5.5677 5.5677 9.0430
angles: 90.00 90.00 120.00
Fractional positions:
La1 0.0000 0.0000 0.7500
La2 0.0000 0.0000 0.2500
La3 0.3333 0.6667 0.2500
La4 0.6667 0.3333 0.7500
Hg1 0.3333 0.6667 0.9093
Hg2 0.6667 0.3333 0.4093
Hg3 0.6667 0.3333 0.0907
Hg4 0.3333 0.6667 0.5907

***

Entry 25:
LaHg4 after structural relaxation. Source: the Alexandria database, functional PBE-GGA.

Output
Symmetry: No. 2
DFT total energy in eV per atom: -1.493
Excess energy over the best structure of this formula in the dataset in kJ/mol of atoms: 6.49
Formation energy from the elements in eV/f.u.: -1.330

abc: 5.1820 3.6682 7.6708
angles: 103.80 110.78 90.08
Fractional positions:
La1 0.5000 0.0000 0.5000
Hg1 0.7160 0.7116 0.9209
Hg2 0.2840 0.2884 0.0791
Hg3 0.8903 0.3919 0.2885
Hg4 0.1097 0.6081 0.7115